No. 1
First-principles (PBE-GGA) data for a geometry-optimized LaCu6 structure, as listed in Alexandria via LeMat-Bulk.

Cell lengths 10.1966, 5.1888, 8.1203 Å; angles 87.93, 90.00, 90.00 degrees
With the nearest neighbours (Å) after each atom.
Atoms (fractional coordinates):
Cu1 0.8120 0.0084 0.5621  9 Cu 2.46-2.70
Cu2 0.4011 0.2188 0.4334  5 Cu 2.47-2.61
Cu3 0.3120 0.9916 0.9379  9 Cu 2.46-2.70
Cu4 0.0989 0.2188 0.9334  5 Cu 2.47-2.61
Cu5 0.1428 0.7630 0.1496  8 Cu 2.56-2.86
Cu6 0.6428 0.2370 0.3504  8 Cu 2.56-2.86
Cu7 0.7440 0.7506 0.3196  8 Cu 2.46-2.75
Cu8 0.2440 0.2494 0.1804  8 Cu 2.46-2.75
Cu9 0.7560 0.7506 0.8196  8 Cu 2.46-2.75
Cu10 0.5989 0.7812 0.5666  5 Cu 2.47-2.61
Cu11 0.8084 0.4990 0.5687  8 Cu 2.46-2.66
Cu12 0.6880 0.0084 0.0621  9 Cu 2.46-2.70
Cu13 0.1916 0.5010 0.4313  8 Cu 2.46-2.66
Cu14 0.3572 0.7630 0.6496  8 Cu 2.56-2.86
Cu15 0.0166 0.2499 0.6011  6 Cu 2.46-2.60
Cu16 0.8572 0.2370 0.8504  8 Cu 2.56-2.86
Cu17 0.9011 0.7812 0.0666  5 Cu 2.47-2.61
Cu18 0.4834 0.2499 0.1011  6 Cu 2.46-2.60
Cu19 0.5166 0.7501 0.8989  6 Cu 2.46-2.60
Cu20 0.3084 0.5010 0.9313  8 Cu 2.46-2.66
Cu21 0.9834 0.7501 0.3989  6 Cu 2.46-2.60
Cu22 0.2560 0.2494 0.6804  8 Cu 2.46-2.75
Cu23 0.1880 0.9916 0.4379  9 Cu 2.46-2.70
Cu24 0.6916 0.4990 0.0687  8 Cu 2.46-2.66
La1 0.5632 0.2627 0.7384  13 Cu 2.93-3.26
La2 0.9368 0.2627 0.2384  13 Cu 2.93-3.26
La3 0.0632 0.7373 0.7616  13 Cu 2.93-3.26
La4 0.4368 0.7373 0.2616  13 Cu 2.93-3.26

Results
- formation enthalpy at 0 K (meV/atom) = -134
- SG = No. 14
- calculated volume (A^3/atom) = 15.3
- magnetic moment (μB/atom) = 0.00
- energy relative to the lowest polymorph listed for this composition (eV per atom) = 0.000
- Fermi-level density of states (states/eV per cell) = 12.2
- DFT total energy (eV per atom) = -4.349



No. 2
First-principles (PBE-GGA) data for a geometry-optimized Pr2Er5Tm2 structure, as listed in Alexandria via LeMat-Bulk.

Cell lengths 11.7806, 6.6777, 10.0527 Å; angles 109.40, 125.87, 90.00 degrees
With the nearest neighbours (Å) after each atom.
Atoms (fractional coordinates):
Er1 0.7957 0.7587 0.1063  5 Er 3.18-3.55, 1 Pr 3.24, 1 Tm 3.32
Er2 0.3777 0.0401 0.2838  5 Er 3.18-3.55, 1 Tm 3.35, 1 Pr 3.40
Er3 0.6223 0.7564 0.7162  5 Er 3.18-3.55, 1 Tm 3.35, 1 Pr 3.40
Er4 0.2043 0.6524 0.8937  5 Er 3.18-3.55, 1 Pr 3.24, 1 Tm 3.32
Er5 0.1894 0.1524 0.8937  5 Er 3.18-3.55, 1 Pr 3.24, 1 Tm 3.32
Er6 0.5939 0.2564 0.7162  5 Er 3.18-3.55, 1 Tm 3.35, 1 Pr 3.40
Er7 0.4061 0.5401 0.2838  5 Er 3.18-3.55, 1 Tm 3.35, 1 Pr 3.40
Er8 0.8106 0.2587 0.1063  5 Er 3.18-3.55, 1 Pr 3.24, 1 Tm 3.32
Er9 0.0030 0.6497 0.5000  6 Er 3.20-3.57, 1 Pr 3.39, 2 Tm 3.55
Er10 0.9970 0.1497 0.5000  6 Er 3.20-3.57, 1 Pr 3.39, 2 Tm 3.55
Tm1 0.6317 0.1841 0.2531  4 Er 3.32-3.64, 2 Pr 3.54-3.55, 1 Tm 3.67
Tm2 0.8786 0.4310 0.7469  4 Er 3.32-3.64, 2 Pr 3.54-3.55, 1 Tm 3.67
Tm3 0.3683 0.9310 0.7469  4 Er 3.32-3.64, 2 Pr 3.54-3.55, 1 Tm 3.67
Tm4 0.1214 0.6841 0.2531  4 Er 3.32-3.64, 2 Pr 3.54-3.55, 1 Tm 3.67
Pr1 0.5000 0.5086 0.0000  4 Er 3.24-3.56, 2 Tm 3.55
Pr2 0.0000 0.0086 0.0000  4 Er 3.24-3.56, 2 Tm 3.55
Pr3 0.7400 0.8549 0.5000  4 Er 3.39-3.61, 2 Tm 3.54, 2 Pr 3.77
Pr4 0.2600 0.3549 0.5000  4 Er 3.39-3.61, 2 Tm 3.54, 2 Pr 3.77

Results
- formation enthalpy at 0 K (meV/atom) = 221
- SG = No. 46
- calculated volume (A^3/atom) = 32.5
- magnetic moment (μB/atom) = 0.00
- Fermi-level density of states (states/eV per cell) = 26.7
- DFT total energy (eV per atom) = -4.370



No. 3
First-principles (PBE-GGA) data for a geometry-optimized Si2PBr structure, as listed in Alexandria via LeMat-Bulk.

Cell lengths 4.7837, 4.7837, 3.1524 Å; angles 90.00, 90.00, 90.00 degrees
With the nearest neighbours (Å) after each atom.
Atoms (fractional coordinates):
Si1 0.0000 0.0000 0.0000  4 Br 2.86, 4 P 2.86, 2 Si 3.15
Si2 0.5000 0.5000 0.0000  4 P 2.86, 4 Br 2.86, 2 Si 3.15
P1 0.0000 0.5000 0.5000  8 Si 2.86, 2 P 3.15
Br1 0.5000 0.0000 0.5000  8 Si 2.86, 2 Br 3.15

Results
- SG = No. 123
- calculated volume (A^3/atom) = 18.0
- magnetic moment (μB/atom) = 0.00
- energy relative to the lowest polymorph listed for this composition (eV per atom) = 0.681
- Fermi-level density of states (states/eV per cell) = 2.6
- formation energy without anion corrections (kJ/mol of atoms) = 72
- DFT total energy (eV per atom) = -3.733



No. 4
First-principles (PBE-GGA) data for a geometry-optimized Ta2SnPOs structure, as listed in Alexandria via LeMat-Bulk.

Cell lengths 5.0438, 4.3018, 5.0438 Å; angles 90.00, 90.00, 90.00 degrees
With the nearest neighbours (Å) after each atom.
Atoms (fractional coordinates):
Ta1 0.5000 0.0000 0.0000  2 Os 2.52
Ta2 0.0000 0.0000 0.5000  2 Os 2.52
Os1 0.0000 0.0000 0.0000  2 P 2.15
Sn1 0.5000 0.5000 0.5000  8 Ta 3.31, 4 P 3.57
P1 0.0000 0.5000 0.0000  2 Os 2.15

Results
- formation enthalpy at 0 K (meV/atom) = 788
- SG = No. 123
- calculated volume (A^3/atom) = 21.9
- magnetic moment (μB/atom) = 0.00
- Fermi-level density of states (states/eV per cell) = 4.0
- DFT total energy (eV per atom) = -8.082



No. 5
First-principles (PBE-GGA) data for a geometry-optimized CaYTl2 structure, as listed in Alexandria via LeMat-Bulk.

Cell lengths 3.8112, 3.8552, 8.6218 Å; angles 63.54, 90.00, 90.00 degrees
With the nearest neighbours (Å) after each atom.
Atoms (fractional coordinates):
Tl1 0.0000 0.9950 0.0054  4 Y 3.30-3.31, 4 Ca 3.35
Tl2 0.0000 0.5050 0.4946  4 Y 3.30-3.31, 4 Ca 3.35
Ca1 0.5000 0.7500 0.7500  8 Tl 3.35
Y1 0.5000 0.2500 0.2500  8 Tl 3.30-3.31

Results
- formation enthalpy at 0 K (meV/atom) = -407
- SG = No. 10
- calculated volume (A^3/atom) = 28.4
- magnetic moment (μB/atom) = 0.00
- Fermi-level density of states (states/eV per cell) = 2.9
- DFT total energy (eV per atom) = -3.707



No. 6
First-principles (PBE-GGA) data for a geometry-optimized Tb2Pm3SmHo6 structure, as listed in Alexandria via LeMat-Bulk.

Cell lengths 6.1888, 6.1888, 11.7829 Å; angles 95.01, 95.01, 119.98 degrees
With the nearest neighbours (Å) after each atom.
Atoms (fractional coordinates):
Ho1 0.0832 0.4168 0.2484  2 Tb 3.54, 1 Sm 3.55, 6 Ho 3.57-3.58, 3 Pm 3.57-3.58
Ho2 0.2505 0.2505 0.7517  1 Sm 3.54, 2 Tb 3.54, 6 Ho 3.57-3.58, 3 Pm 3.57-3.58
Ho3 0.7495 0.7495 0.2483  1 Sm 3.54, 2 Tb 3.54, 6 Ho 3.57-3.58, 3 Pm 3.57-3.58
Ho4 0.4168 0.0832 0.2484  2 Tb 3.54, 1 Sm 3.55, 6 Ho 3.57-3.58, 3 Pm 3.57-3.58
Ho5 0.9168 0.5832 0.7516  2 Tb 3.54, 1 Sm 3.55, 6 Ho 3.57-3.58, 3 Pm 3.57-3.58
Ho6 0.5832 0.9168 0.7516  2 Tb 3.54, 1 Sm 3.55, 6 Ho 3.57-3.58, 3 Pm 3.57-3.58
Pm1 0.1668 0.8332 0.5000  6 Pm 3.57-3.58, 6 Ho 3.57-3.58
Pm2 0.5000 0.5000 0.5000  6 Pm 3.57, 6 Ho 3.57
Pm3 0.8332 0.1668 0.5000  6 Pm 3.57-3.58, 6 Ho 3.57-3.58
Tb1 0.6667 0.3333 0.0000  6 Ho 3.54, 3 Sm 3.57, 3 Tb 3.57
Tb2 0.3333 0.6667 0.0000  6 Ho 3.54, 3 Sm 3.57, 3 Tb 3.57
Sm1 0.0000 0.0000 0.0000  6 Ho 3.54-3.55, 6 Tb 3.57

Results
- formation enthalpy at 0 K (meV/atom) = 15
- SG = No. 12
- calculated volume (A^3/atom) = 32.1
- magnetic moment (μB/atom) = 0.00
- Fermi-level density of states (states/eV per cell) = 14.7
- DFT total energy (eV per atom) = -4.626



No. 7
First-principles (PBE-GGA) data for a geometry-optimized Ba2NiRhI structure, as listed in Alexandria via LeMat-Bulk.

Cell lengths 6.1188, 6.1188, 4.5759 Å; angles 90.00, 90.00, 90.00 degrees
With the nearest neighbours (Å) after each atom.
Atoms (fractional coordinates):
Ni1 0.0000 0.0000 0.5000  2 Rh 2.29
I1 0.5000 0.5000 0.5000  8 Ba 3.82
Ba1 0.5000 0.0000 0.0000  2 Rh 3.06
Ba2 0.0000 0.5000 0.0000  2 Rh 3.06
Rh1 0.0000 0.0000 0.0000  2 Ni 2.29

Results
- SG = No. 123
- calculated volume (A^3/atom) = 34.3
- magnetic moment (μB/atom) = 0.00
- Fermi-level density of states (states/eV per cell) = 2.7
- formation energy without anion corrections (kJ/mol of atoms) = -39
- DFT total energy (eV per atom) = -4.108



No. 8
First-principles (PBE-GGA) data for a geometry-optimized BeCuCl2 structure, as listed in Alexandria via LeMat-Bulk.

Cell lengths 3.0689, 3.0689, 9.2058 Å; angles 90.00, 90.00, 90.00 degrees
With the nearest neighbours (Å) after each atom.
Atoms (fractional coordinates):
Be1 0.5000 0.5000 0.7750  1 Cl 1.83
Cl1 0.5000 0.5000 0.5766  1 Be 1.83
Cl2 0.0000 0.0000 0.8710  4 Be 2.34
Cu1 0.0000 0.0000 0.2774  4 Cu 3.07

Results
- SG = No. 99
- calculated volume (A^3/atom) = 21.7
- magnetic moment (μB/atom) = 0.00
- energy relative to the lowest polymorph listed for this composition (eV per atom) = 0.345
- Fermi-level density of states (states/eV per cell) = 0.6
- formation energy without anion corrections (kJ/mol of atoms) = -11
- DFT total energy (eV per atom) = -2.995



No. 9
First-principles (PBE-GGA) data for a geometry-optimized Sr3Zn2In3 structure, as listed in Alexandria via LeMat-Bulk.

Cell lengths 4.8472, 6.3878, 16.4551 Å; angles 90.00, 90.00, 112.30 degrees
With the nearest neighbours (Å) after each atom.
Atoms (fractional coordinates):
Sr1 0.0910 0.1820 0.8928  7 In 3.43-3.67, 4 Zn 3.43-3.67
Sr2 0.9090 0.8180 0.1072  7 In 3.43-3.67, 4 Zn 3.43-3.67
Sr3 0.6255 0.2510 0.2500  5 In 3.44-3.48, 4 Zn 3.57
Sr4 0.0910 0.1820 0.6072  7 In 3.43-3.67, 4 Zn 3.43-3.67
Sr5 0.9090 0.8180 0.3928  7 In 3.43-3.67, 4 Zn 3.43-3.67
Sr6 0.3745 0.7490 0.7500  5 In 3.44-3.48, 4 Zn 3.57
Zn1 0.7962 0.5925 0.6008  4 In 2.81-3.08
Zn2 0.2038 0.4075 0.1008  4 In 2.81-3.08
Zn3 0.7962 0.5925 0.8992  4 In 2.81-3.08
Zn4 0.2038 0.4075 0.3992  4 In 2.81-3.08
In1 0.3787 0.7574 0.5383  3 Zn 2.81-3.08, 1 In 3.13
In2 0.6213 0.2426 0.0383  3 Zn 2.81-3.08, 1 In 3.13
In3 0.6674 0.3348 0.7500  2 Zn 2.89
In4 0.6213 0.2426 0.4617  3 Zn 2.81-3.08, 1 In 3.13
In5 0.3787 0.7574 0.9617  3 Zn 2.81-3.08, 1 In 3.13
In6 0.3326 0.6652 0.2500  2 Zn 2.89

Results
- formation enthalpy at 0 K (meV/atom) = -364
- SG = No. 63
- calculated volume (A^3/atom) = 29.5
- magnetic moment (μB/atom) = 0.00
- Fermi-level density of states (states/eV per cell) = 12.2
- DFT total energy (eV per atom) = -2.340



No. 10
First-principles (PBE-GGA) data for a geometry-optimized Ba3Hg2BiO6 structure, as listed in Alexandria via LeMat-Bulk.

Cell lengths 6.2492, 6.2492, 7.1463 Å; angles 90.00, 90.00, 120.00 degrees
With the nearest neighbours (Å) after each atom.
Atoms (fractional coordinates):
Ba1 0.3333 0.6667 0.6117  3 O 2.77
Ba2 0.6667 0.3333 0.3883  3 O 2.77
Ba3 0.0000 0.0000 0.0000  6 O 2.90
Hg1 0.6667 0.3333 0.8939  3 O 2.42
Hg2 0.3333 0.6667 0.1061  3 O 2.42
O1 0.3232 0.1616 0.6765  1 Bi 2.16
O2 0.8384 0.6768 0.6765  1 Bi 2.16
O3 0.8384 0.1616 0.6765  1 Bi 2.16
O4 0.1616 0.3232 0.3235  1 Bi 2.16
O5 0.1616 0.8384 0.3235  1 Bi 2.16
O6 0.6768 0.8384 0.3235  1 Bi 2.16
Bi1 0.0000 0.0000 0.5000  6 O 2.16

Results
- SG = No. 164
- calculated volume (A^3/atom) = 20.1
- magnetic moment (μB/atom) = 0.00
- Fermi-level density of states (states/eV per cell) = 3.8
- formation energy without anion corrections (kJ/mol of atoms) = -150
- DFT total energy (eV per atom) = -4.884



No. 11
First-principles (PBE-GGA) data for a geometry-optimized VFe2Pt5 structure, as listed in Alexandria via LeMat-Bulk.

Cell lengths 4.4976, 5.4420, 9.7868 Å; angles 90.00, 90.00, 90.00 degrees
With the nearest neighbours (Å) after each atom.
Atoms (fractional coordinates):
Fe1 0.5000 0.3674 0.3920  1 Fe 2.56, 8 Pt 2.56-2.86
Fe2 0.5000 0.8674 0.1080  1 Fe 2.56, 8 Pt 2.56-2.86
Fe3 0.5000 0.1326 0.8920  1 Fe 2.56, 8 Pt 2.56-2.86
Fe4 0.5000 0.6326 0.6080  1 Fe 2.56, 8 Pt 2.56-2.86
Pt1 0.0000 0.8024 0.7383  1 V 2.57, 6 Pt 2.73-2.85, 2 Fe 2.75
Pt2 0.5000 0.6082 0.8697  4 Fe 2.56-2.86, 2 V 2.65, 3 Pt 2.80-2.81
Pt3 0.0000 0.1976 0.2617  1 V 2.57, 6 Pt 2.73-2.85, 2 Fe 2.75
Pt4 0.0000 0.5000 0.5000  4 Fe 2.59, 2 V 2.72, 4 Pt 2.78-2.85
Pt5 0.5000 0.1082 0.6303  4 Fe 2.56-2.86, 2 V 2.65, 3 Pt 2.80-2.81
Pt6 0.0000 0.3024 0.7617  1 V 2.57, 6 Pt 2.73-2.85, 2 Fe 2.75
Pt7 0.5000 0.3918 0.1303  4 Fe 2.56-2.86, 2 V 2.65, 3 Pt 2.80-2.81
Pt8 0.0000 0.0000 0.0000  4 Fe 2.59, 2 V 2.72, 4 Pt 2.78-2.85
Pt9 0.5000 0.8918 0.3697  4 Fe 2.56-2.86, 2 V 2.65, 3 Pt 2.80-2.81
Pt10 0.0000 0.6976 0.2383  1 V 2.57, 6 Pt 2.73-2.85, 2 Fe 2.75
V1 0.0000 0.5000 0.0000  8 Pt 2.57-2.72
V2 0.0000 0.0000 0.5000  8 Pt 2.57-2.72

Results
- formation enthalpy at 0 K (meV/atom) = -183
- SG = No. 55
- calculated volume (A^3/atom) = 15.0
- magnetic moment (μB/atom) = 0.72
- Fermi-level density of states (states/eV per cell) = 17.4
- DFT total energy (eV per atom) = -7.214



No. 12
First-principles (PBE-GGA) data for a geometry-optimized Sn2HgPbSe4 structure, as listed in Alexandria via LeMat-Bulk.

Cell lengths 4.2626, 7.4112, 7.3891 Å; angles 69.90, 90.00, 90.00 degrees
With the nearest neighbours (Å) after each atom.
Atoms (fractional coordinates):
Se1 0.5000 0.7582 0.2465  3 Sn 2.97-3.00, 2 Pb 3.04, 1 Hg 3.06
Se2 0.0000 0.2496 0.2448  2 Hg 2.99, 3 Sn 3.00-3.02, 1 Pb 3.07
Se3 0.0000 0.7505 0.7551  2 Hg 2.99, 3 Sn 3.00-3.02, 1 Pb 3.07
Se4 0.5000 0.2418 0.7535  3 Sn 2.97-3.00, 2 Pb 3.04, 1 Hg 3.06
Sn1 0.5000 0.0000 0.5000  6 Se 3.00-3.02
Sn2 0.0000 0.0000 0.0000  6 Se 2.97-3.00
Hg1 0.5000 0.5000 0.0000  6 Se 2.99-3.06
Pb1 0.0000 0.5000 0.5000  6 Se 3.04-3.07

Results
- SG = No. 10
- calculated volume (A^3/atom) = 27.4
- magnetic moment (μB/atom) = 0.00
- Fermi-level density of states (states/eV per cell) = 2.0
- formation energy without anion corrections (kJ/mol of atoms) = -35
- DFT total energy (eV per atom) = -3.607